The following is a PBE calculation of an optimized crystal structure of Rb2ScSnCl6, from Alexandria.

Structure (POSCAR):
```
Rb2ScSnCl6
1.0
-3.762 3.762 6.044
3.762 -3.762 6.044
3.762 3.762 -6.044
Rb Sc Sn Cl
2 1 1 6
Direct
0.250 0.750 0.500
0.750 0.250 0.500
0.000 0.000 0.000
0.500 0.500 0.000
0.207 0.207 0.000
0.236 0.236 0.471
0.236 0.764 0.000
0.764 0.236 0.000
0.764 0.764 0.529
0.793 0.793 0.000
```

Computed properties:
* DFT total energy: -3.982 eV/atom
* ΔE_f (raw): -16.5 eV per formula unit